(1)
Compound: Ac3In2Ag9
Source: Alexandria
Functional: GGA-PBE
Structure: optimized geometry

Values from the calculation:
VASP energy in eV for the cell shown: -47.028
Total moment in μB/atom: 0.00
E_form in kcal/mol of atoms: -5.9

abc: 9.0547 9.0547 9.0547
angles: 149.06 114.22 74.46
Last column: nearest neighbours and their distance in Å.
Element x y z (fractional)
Ac  0.0000  0.0000  0.0000  12 Ag 3.43-3.63
Ac  0.2909  0.2909  0.0000  12 Ag 3.37-3.60, 2 In 3.51
Ac  0.7091  0.7091  0.0000  12 Ag 3.37-3.60, 2 In 3.51
In  0.3164  0.5000  0.8164  8 Ag 2.88-3.12
In  0.6836  0.5000  0.1836  8 Ag 2.88-3.12
Ag  0.0184  0.6605  0.3578  4 Ag 2.80-3.02, 1 In 2.88
Ag  0.1507  0.8643  0.2864  4 Ag 2.82-3.02, 2 In 3.12
Ag  0.3027  0.6605  0.6422  4 Ag 2.80-3.02, 1 In 2.88
Ag  0.4222  0.1357  0.2864  4 Ag 2.82-3.02, 2 In 3.12
Ag  0.5000  0.0000  0.5000  4 Ag 2.87, 4 In 3.02
Ag  0.5778  0.8643  0.7136  4 Ag 2.82-3.02, 2 In 3.12
Ag  0.6973  0.3395  0.3578  4 Ag 2.80-3.02, 1 In 2.88
Ag  0.8493  0.1357  0.7136  4 Ag 2.82-3.02, 2 In 3.12
Ag  0.9816  0.3395  0.6422  4 Ag 2.80-3.02, 1 In 2.88

---

(2)
Compound: Ac2InAg4
Source: Alexandria
Functional: GGA-PBE
Structure: optimized geometry

Values from the calculation:
VASP energy in eV for the cell shown: -43.871
Total moment in μB/atom: 0.00
E_form in kcal/mol of atoms: 1.4

abc: 5.1338 5.1338 16.6351
angles: 90.00 90.00 90.00
Last column: nearest neighbours and their distance in Å.
Element x y z (fractional)
Ac  0.0000  0.0000  0.1388  5 Ag 3.19-3.45
Ac  0.0000  0.0000  0.8612  5 Ag 3.19-3.45
Ac  0.5000  0.5000  0.3612  5 Ag 3.19-3.45
Ac  0.5000  0.5000  0.6388  5 Ag 3.19-3.45
In  0.0000  0.0000  0.5000  6 Ag 2.57-2.82
In  0.5000  0.5000  0.0000  6 Ag 2.57-2.82
Ag  0.0000  0.0000  0.3306  1 In 2.82
Ag  0.0000  0.0000  0.6694  1 In 2.82
Ag  0.0000  0.5000  0.0000  2 In 2.57
Ag  0.0000  0.5000  0.5000  2 In 2.57
Ag  0.5000  0.0000  0.0000  2 In 2.57
Ag  0.5000  0.0000  0.5000  2 In 2.57
Ag  0.5000  0.5000  0.1694  1 In 2.82
Ag  0.5000  0.5000  0.8306  1 In 2.82

---

(3)
Compound: AcInAg4
Source: Alexandria
Functional: GGA-PBE
Structure: optimized geometry

Values from the calculation:
VASP energy in eV for the cell shown: -19.710
Total moment in μB/atom: 0.00
E_form in kcal/mol of atoms: -5.6

abc: 5.7749 5.7749 5.7749
angles: 60.00 60.00 60.00
Last column: nearest neighbours and their distance in Å.
Element x y z (fractional)
Ac  0.0000  0.0000  0.0000  12 Ag 3.39, 4 In 3.54
In  0.2500  0.2500  0.2500  12 Ag 3.38, 4 Ac 3.54
Ag  0.1270  0.6243  0.6243  6 Ag 2.87-2.90
Ag  0.6243  0.1270  0.6243  6 Ag 2.87-2.90
Ag  0.6243  0.6243  0.1270  6 Ag 2.87-2.90
Ag  0.6243  0.6243  0.6243  6 Ag 2.87-2.90

---

(4)
Compound: Ac2In5Ag5
Source: Alexandria
Functional: GGA-PBE
Structure: optimized geometry

Values from the calculation:
VASP energy in eV for the cell shown: -38.588
Polymorph energy (0 for the lowest one) in meV/atom: 82
Total moment in μB/atom: 0.00
E_form in kcal/mol of atoms: -4.7

abc: 4.7170 5.8822 10.8443
angles: 90.00 90.00 90.00
Last column: nearest neighbours and their distance in Å.
Element x y z (fractional)
Ac  0.0000  0.0000  0.0000  6 In 3.43-3.46, 12 Ag 3.77-3.83
Ac  0.0000  0.5000  0.5000  10 In 3.55-3.77, 8 Ag 3.94
In  0.0000  0.0000  0.3165  4 Ag 2.90, 2 In 3.09
In  0.0000  0.0000  0.6835  4 Ag 2.90, 2 In 3.09
In  0.0000  0.5000  0.1681  6 Ag 2.89-2.98
In  0.0000  0.5000  0.8319  6 Ag 2.89-2.98
In  0.5000  0.0000  0.5000  4 In 3.09, 4 Ag 3.16
Ag  0.5000  0.2508  0.2426  5 In 2.89-3.16, 3 Ag 2.93-3.01
Ag  0.5000  0.2508  0.7574  5 In 2.89-3.16, 3 Ag 2.93-3.01
Ag  0.5000  0.5000  0.0000  4 In 2.98, 4 Ag 3.01
Ag  0.5000  0.7492  0.2426  5 In 2.89-3.16, 3 Ag 2.93-3.01
Ag  0.5000  0.7492  0.7574  5 In 2.89-3.16, 3 Ag 2.93-3.01

---

(5)
Compound: AcIn4Ag4
Source: Alexandria
Functional: GGA-PBE
Structure: optimized geometry

Values from the calculation:
VASP energy in eV for the cell shown: -27.592
Polymorph energy (0 for the lowest one) in meV/atom: 33
Total moment in μB/atom: 0.00
E_form in kcal/mol of atoms: -2.9

abc: 7.1102 7.1102 7.1102
angles: 97.27 97.27 138.32
Last column: nearest neighbours and their distance in Å.
Element x y z (fractional)
Ac  0.0000  0.0000  0.0000  8 Ag 3.34, 4 In 3.58
In  0.1001  0.6326  0.7327  4 Ag 2.84-2.95, 1 In 3.12
In  0.3674  0.1001  0.4675  4 Ag 2.84-2.95, 1 In 3.12
In  0.6326  0.8999  0.5325  4 Ag 2.84-2.95, 1 In 3.12
In  0.8999  0.3674  0.2673  4 Ag 2.84-2.95, 1 In 3.12
Ag  0.2943  0.3930  0.6873  4 In 2.84-2.95, 2 Ag 3.08
Ag  0.3930  0.7057  0.0987  4 In 2.84-2.95, 2 Ag 3.08
Ag  0.6070  0.2943  0.9013  4 In 2.84-2.95, 2 Ag 3.08
Ag  0.7057  0.6070  0.3127  4 In 2.84-2.95, 2 Ag 3.08

---

(6)
Compound: Ac3In5Ag6
Source: Alexandria
Functional: GGA-PBE
Structure: optimized geometry

Values from the calculation:
VASP energy in eV for the cell shown: -47.773
Total moment in μB/atom: 0.00
E_form in kcal/mol of atoms: -7.7

abc: 9.1304 9.1304 9.1304
angles: 148.39 114.62 74.44
Last column: nearest neighbours and their distance in Å.
Element x y z (fractional)
Ac  0.0000  0.0000  0.0000  4 Ag 3.40, 8 In 3.71
Ac  0.3036  0.3036  0.0000  8 Ag 3.40-3.71, 8 In 3.52-3.79
Ac  0.6964  0.6964  0.0000  8 Ag 3.40-3.71, 8 In 3.52-3.79
In  0.0154  0.6617  0.3536  4 Ag 2.85-3.04, 1 In 2.89
In  0.3081  0.6617  0.6464  4 Ag 2.85-3.04, 1 In 2.89
In  0.5000  0.0000  0.5000  8 Ag 2.91-3.09
In  0.6919  0.3383  0.3536  4 Ag 2.85-3.04, 1 In 2.89
In  0.9846  0.3383  0.6464  4 Ag 2.85-3.04, 1 In 2.89
Ag  0.1475  0.8653  0.2821  4 In 2.85-3.04, 2 Ag 3.18
Ag  0.3135  0.5000  0.8135  4 In 2.87-3.09, 4 Ag 3.18
Ag  0.4168  0.1347  0.2821  4 In 2.85-3.04, 2 Ag 3.18
Ag  0.5832  0.8653  0.7179  4 In 2.85-3.04, 2 Ag 3.18
Ag  0.6865  0.5000  0.1865  4 In 2.87-3.09, 4 Ag 3.18
Ag  0.8525  0.1347  0.7179  4 In 2.85-3.04, 2 Ag 3.18

---

(7)
Compound: Ac3In6Ag5
Source: Alexandria
Functional: GGA-PBE
Structure: optimized geometry

Values from the calculation:
VASP energy in eV for the cell shown: -95.189
Total moment in μB/atom: 0.00
E_form in kcal/mol of atoms: -7.5

abc: 4.9965 14.7523 9.8763
angles: 90.00 90.00 90.00
Last column: nearest neighbours and their distance in Å.
Element x y z (fractional)
Ac  0.2500  0.0404  0.2494  6 Ag 3.42-3.68, 8 In 3.44-3.59
Ac  0.2500  0.4596  0.2494  6 Ag 3.42-3.68, 8 In 3.44-3.59
Ac  0.2500  0.7500  0.2351  6 Ag 3.39-3.69, 6 In 3.61-3.66
Ac  0.7500  0.2500  0.7649  6 Ag 3.39-3.69, 6 In 3.61-3.66
Ac  0.7500  0.5404  0.7506  6 Ag 3.42-3.68, 8 In 3.44-3.59
Ac  0.7500  0.9596  0.7506  6 Ag 3.42-3.68, 8 In 3.44-3.59
In  0.2500  0.0909  0.8939  4 Ag 2.79-3.05, 1 In 2.98
In  0.2500  0.2500  0.0801  2 In 2.98, 6 Ag 3.02-3.26
In  0.2500  0.2500  0.4285  4 Ag 2.89-3.05
In  0.2500  0.4091  0.8939  4 Ag 2.79-3.05, 1 In 2.98
In  0.2500  0.6067  0.5319  4 Ag 2.88-3.11
In  0.2500  0.8933  0.5319  4 Ag 2.88-3.11
In  0.7500  0.1067  0.4681  4 Ag 2.88-3.11
In  0.7500  0.3933  0.4681  4 Ag 2.88-3.11
In  0.7500  0.5909  0.1061  4 Ag 2.79-3.05, 1 In 2.98
In  0.7500  0.7500  0.5715  4 Ag 2.89-3.05
In  0.7500  0.7500  0.9199  2 In 2.98, 6 Ag 3.02-3.26
In  0.7500  0.9091  0.1061  4 Ag 2.79-3.05, 1 In 2.98
Ag  0.2500  0.0974  0.6116  5 In 2.79-3.11
Ag  0.2500  0.4026  0.6116  5 In 2.79-3.11
Ag  0.2500  0.6105  0.9626  3 In 2.89-3.05, 1 Ag 2.95
Ag  0.2500  0.7500  0.7481  2 Ag 2.95, 6 In 3.01-3.05
Ag  0.2500  0.8895  0.9626  3 In 2.89-3.05, 1 Ag 2.95
Ag  0.7500  0.1105  0.0374  3 In 2.89-3.05, 1 Ag 2.95
Ag  0.7500  0.2500  0.2519  2 Ag 2.95, 6 In 3.01-3.05
Ag  0.7500  0.3895  0.0374  3 In 2.89-3.05, 1 Ag 2.95
Ag  0.7500  0.5974  0.3884  5 In 2.79-3.11
Ag  0.7500  0.9026  0.3884  5 In 2.79-3.11

---

(8)
Compound: Ac3In2Ag2
Source: Alexandria
Functional: GGA-PBE
Structure: optimized geometry

Values from the calculation:
VASP energy in eV for the cell shown: -51.969
Total moment in μB/atom: 0.00
E_form in kcal/mol of atoms: -8.2

abc: 12.1336 4.9038 8.0996
angles: 90.00 108.58 90.00
Last column: nearest neighbours and their distance in Å.
Element x y z (fractional)
Ac  0.0000  0.0000  0.0000  6 Ag 3.51-3.64, 4 In 3.59
Ac  0.1746  0.0000  0.6446  3 Ag 3.29-3.35, 5 In 3.43-3.60
Ac  0.3254  0.5000  0.3554  3 Ag 3.29-3.35, 5 In 3.43-3.60
Ac  0.5000  0.5000  0.0000  6 Ag 3.51-3.64, 4 In 3.59
Ac  0.6746  0.5000  0.6446  3 Ag 3.29-3.35, 5 In 3.43-3.60
Ac  0.8254  0.0000  0.3554  3 Ag 3.29-3.35, 5 In 3.43-3.60
In  0.0388  0.5000  0.3369  1 Ag 2.93, 1 In 3.07
In  0.4612  0.0000  0.6631  1 Ag 2.93, 1 In 3.07
In  0.5388  0.0000  0.3369  1 Ag 2.93, 1 In 3.07
In  0.9612  0.5000  0.6631  1 Ag 2.93, 1 In 3.07
Ag  0.1889  0.5000  0.9332  2 Ag 2.89, 1 In 2.93
Ag  0.3111  0.0000  0.0668  2 Ag 2.89, 1 In 2.93
Ag  0.6889  0.0000  0.9332  2 Ag 2.89, 1 In 2.93
Ag  0.8111  0.5000  0.0668  2 Ag 2.89, 1 In 2.93